Record 1
VASP calculation (PBE-GGA) on crystalline CrTe at its relaxed geometry.

Output
SG: F-43m
Uncorrected formation energy, eV/atom: 0.112

Cell: 4.419 4.419 4.419 Å, 60.00 60.00 60.00°
Each line ends with the local moment (μB).
Sites, in units of the cell vectors:
Cr (0.000, 0.000, 0.000)  3.69
Te (0.250, 0.250, 0.250)  -0.17

=====

Record 2
VASP calculation (PBE-GGA) on crystalline Pb2WBr at its relaxed geometry.

Output
SG: I-42d
ΔE to the lowest computed polymorph, meV/atom: 602
Uncorrected formation energy, eV/atom: 1.082

Cell: 6.533 6.533 8.511 Å, 67.43 67.43 90.00°
Each line ends with the local moment (μB).
Sites, in units of the cell vectors:
Pb (0.697, 0.125, 0.250)  -0.01
Pb (0.053, 0.625, 0.250)  -0.01
Pb (0.375, 0.303, 0.750)  -0.01
Pb (0.875, 0.947, 0.750)  -0.01
Br (0.500, 0.500, 0.000)  0.02
Br (0.250, 0.750, 0.500)  0.02
W (0.000, 0.000, 0.000)  0.68
W (0.750, 0.250, 0.500)  0.68

=====

Record 3
VASP calculation (PBE-GGA) on crystalline PrMg2Cd4Ag at its relaxed geometry.

Output
SG: R-3m
Energy relative to the elements, eV per atom: -0.181

Cell: 4.875 4.875 9.422 Å, 75.01 75.01 60.00°
Sites, in units of the cell vectors:
Pr (0.000, 0.000, 0.000)
Mg (0.752, 0.752, 0.743)
Mg (0.248, 0.248, 0.257)
Cd (0.391, 0.391, 0.826)
Cd (0.871, 0.871, 0.387)
Cd (0.129, 0.129, 0.613)
Cd (0.609, 0.609, 0.174)
Ag (0.500, 0.500, 0.500)

=====

Record 4
VASP calculation (PBE-GGA) on crystalline LaS2ClF at its relaxed geometry.

Output
SG: P4/mmm
ΔE to the lowest computed polymorph, meV/atom: 0
Uncorrected formation energy, eV/atom: -0.971

Cell: 4.371 4.371 5.120 Å, 90.00 90.00 90.00°
Sites, in units of the cell vectors:
S (0.000, 0.500, 0.000)
S (0.500, 0.000, 0.000)
Cl (0.000, 0.000, 0.500)
F (0.000, 0.000, 0.000)
La (0.500, 0.500, 0.500)

=====

Record 5
VASP calculation (PBE-GGA) on crystalline Na8MgSn2 at its relaxed geometry.

Output
SG: C2/m
Energy relative to the elements, eV per atom: 0.028

Cell: 5.352 8.699 8.699 Å, 88.80 83.41 83.41°
Sites, in units of the cell vectors:
Na (0.765, 0.135, 0.642)
Na (0.235, 0.358, 0.865)
Na (0.851, 0.258, 0.258)
Na (0.149, 0.742, 0.742)
Na (0.765, 0.642, 0.135)
Na (0.235, 0.865, 0.358)
Na (0.285, 0.412, 0.412)
Na (0.715, 0.588, 0.588)
Mg (0.000, 0.000, 0.000)
Sn (0.410, 0.125, 0.125)
Sn (0.590, 0.875, 0.875)

=====

Record 6
VASP calculation (PBE-GGA) on crystalline NaIn2Au at its relaxed geometry.

Output
SG: P4/mmm
Energy relative to the elements, eV per atom: -0.172

Cell: 3.394 3.394 8.458 Å, 90.00 90.00 90.00°
Sites, in units of the cell vectors:
Na (0.500, 0.500, 0.500)
Au (0.500, 0.500, 0.000)
In (0.000, 0.000, 0.789)
In (0.000, 0.000, 0.211)

=====

| no. | E_tot (eV/atom) |
| --- | --- |
| 1 | -6.271 |
| 2 | -4.429 |
| 3 | -1.991 |
| 4 | -4.351 |
| 5 | -1.804 |
| 6 | -2.690 |